Computed, not measured: a geometry-optimized Tb5PbAu4 structure at the PBE level of DFT.

Output
E_tot (eV per atom): -4.77
ΔE_f (kJ per mole of atoms): -74

```
data_Tb5PbAu4
_space_group_name_H-M_alt 'P 1'
_space_group_IT_number 1
_space_group_name_Hall 'P 1'
_cell_length_a 3.565
_cell_length_b 3.565
_cell_length_c 19.355
_cell_angle_alpha 90.00
_cell_angle_beta 90.00
_cell_angle_gamma 90.00
loop_
_atom_site_label
_atom_site_type_symbol
_atom_site_fract_x
_atom_site_fract_y
_atom_site_fract_z
Tb1 Tb 0.000 0.000 0.000
Tb2 Tb 0.000 0.000 0.191
Tb3 Tb 0.000 0.000 0.381
Tb4 Tb 0.000 0.000 0.619
Tb5 Tb 0.000 0.000 0.809
Pb1 Pb 0.500 0.500 0.500
Au1 Au 0.500 0.500 0.096
Au2 Au 0.500 0.500 0.286
Au3 Au 0.500 0.500 0.714
Au4 Au 0.500 0.500 0.904
```